Below is an optimized crystal structure of Li2Ca5Mg2, with properties calculated at the PBE level.

```
data_Li2Ca5Mg2
_chemical_formula_sum 'Li2 Ca5 Mg2'
_space_group_name_H-M_alt 'P 1'
_space_group_IT_number 1
_cell_length_a 7.0060
_cell_length_b 7.0060
_cell_length_c 8.4427
_cell_angle_alpha 103.66
_cell_angle_beta 103.66
_cell_angle_gamma 46.55
loop_
_space_group_symop_operation_xyz
'x,y,z'
loop_
_atom_site_label
_atom_site_fract_x
_atom_site_fract_y
_atom_site_fract_z
Li1 0.2207 0.2207 0.3145
Li2 0.7793 0.7793 0.6855
Ca1 0.0000 0.0000 0.0000
Ca2 0.1342 0.1342 0.6605
Ca3 0.4318 0.4318 0.6822
Ca4 0.5682 0.5682 0.3178
Ca5 0.8658 0.8658 0.3395
Mg1 0.3187 0.3187 0.0313
Mg2 0.6813 0.6813 0.9687
```

Computed properties:
Calculated volume: 32.304 A^3/atom
Calculated density: 1.5 g cm⁻³
Total energy: -17.09 eV for the cell shown
DOS(E_F): 8.738 states/eV per cell
Formation enthalpy at 0 K: -0.007 eV per atom



Below is an optimized crystal structure of LaRePS2, with properties calculated at the PBE level.

```
data_LaRePS2
_chemical_formula_sum 'La1 Re1 P1 S2'
_space_group_name_H-M_alt 'P 1'
_space_group_IT_number 1
_cell_length_a 5.3797
_cell_length_b 5.3797
_cell_length_c 5.8213
_cell_angle_alpha 90.00
_cell_angle_beta 90.00
_cell_angle_gamma 90.00
loop_
_space_group_symop_operation_xyz
'x,y,z'
loop_
_atom_site_label
_atom_site_fract_x
_atom_site_fract_y
_atom_site_fract_z
La1 0.0000 0.0000 0.0000
Re1 0.5000 0.5000 0.5000
P1 0.0000 0.0000 0.5000
S1 0.0000 0.5000 0.0000
S2 0.5000 0.0000 0.0000
```

Computed properties:
Calculated volume: 33.695 A^3/atom
Calculated density: 4.1 g cm⁻³
Total energy: -25.10 eV for the cell shown
DOS(E_F): 5.946 states/eV per cell
Energy relative to the elements, uncorrected: 1.189 eV per atom
Offset from the most stable computed form: 1760.7 meV/atom



Below is an optimized crystal structure of AcAs3Au, with properties calculated at the PBE level.

```
data_AcAs3Au
_chemical_formula_sum 'Ac1 As3 Au1'
_space_group_name_H-M_alt 'P 1'
_space_group_IT_number 1
_cell_length_a 5.0910
_cell_length_b 5.0910
_cell_length_c 5.0910
_cell_angle_alpha 90.00
_cell_angle_beta 90.00
_cell_angle_gamma 90.00
loop_
_space_group_symop_operation_xyz
'x,y,z'
loop_
_atom_site_label
_atom_site_fract_x
_atom_site_fract_y
_atom_site_fract_z
Ac1 0.0000 0.0000 0.0000
As1 0.0000 0.5000 0.5000
As2 0.5000 0.0000 0.5000
As3 0.5000 0.5000 0.0000
Au1 0.5000 0.5000 0.5000
```

Computed properties:
Calculated volume: 26.390 A^3/atom
Calculated density: 8.2 g cm⁻³
Total energy: -22.20 eV for the cell shown
DOS(E_F): 3.395 states/eV per cell
Formation enthalpy at 0 K: -0.173 eV per atom